No. 1
Density functional theory data (meta-GGA SCAN) for a crystal of CuTcTe2F relaxed with PBEsol.

## Properties
Symmetry: P4/mmm (123)
VASP energy: -25.70 eV/atom
Density: 6.910 g/cm³
Crystal system: tetragonal
Volume: 104.7 Å³ per cell

Cell and atoms, written as CIF:
```
data_CuTcTe2F
_chemical_formula_sum 'Cu1 Tc1 Te2 F1'
_symmetry_space_group_name_H-M 'P 1'
_symmetry_Int_Tables_number 1
_symmetry_space_group_name_Hall 'P 1'
_cell_length_a 3.890
_cell_length_b 5.188
_cell_length_c 5.188
_cell_angle_alpha 90.00
_cell_angle_beta 90.00
_cell_angle_gamma 90.00
loop_
_atom_site_label
_atom_site_fract_x
_atom_site_fract_y
_atom_site_fract_z
_atom_site_occupancy
Te1 0.000 0.000 0.500 1
Te2 0.000 0.500 0.000 1
Tc1 0.000 0.000 0.000 1
Cu1 0.500 0.500 0.500 1
F1 0.500 0.000 0.000 1
```

***

No. 2
Density functional theory data (meta-GGA SCAN) for a crystal of PrBr3 relaxed with PBEsol.

## Properties
Symmetry: P6_3/m (176)
VASP energy: -27.56 eV/atom
Density: 5.351 g/cm³
Crystal system: hexagonal
Volume: 236.2 Å³ per cell

Cell and atoms, written as CIF:
```
data_PrBr3
_chemical_formula_sum 'Pr2 Br6'
_symmetry_space_group_name_H-M 'P 1'
_symmetry_Int_Tables_number 1
_symmetry_space_group_name_Hall 'P 1'
_cell_length_a 4.372
_cell_length_b 7.899
_cell_length_c 7.899
_cell_angle_alpha 120.00
_cell_angle_beta 90.00
_cell_angle_gamma 90.00
loop_
_atom_site_label
_atom_site_fract_x
_atom_site_fract_y
_atom_site_fract_z
_atom_site_occupancy
Pr1 0.250 0.333 0.667 1
Pr2 0.750 0.667 0.333 1
Br1 0.250 0.700 0.615 1
Br2 0.750 0.615 0.914 1
Br3 0.750 0.300 0.385 1
Br4 0.250 0.385 0.086 1
Br5 0.250 0.914 0.300 1
Br6 0.750 0.086 0.700 1
```

***

No. 3
Density functional theory data (meta-GGA SCAN) for a crystal of ZrTa3I relaxed with PBEsol.

## Properties
Symmetry: Pm-3m (221)
VASP energy: -51.63 eV/atom
Density: 10.642 g/cm³
Crystal system: cubic
Volume: 118.7 Å³ per cell

Cell and atoms, written as CIF:
```
data_ZrTa3I
_chemical_formula_sum 'Zr1 Ta3 I1'
_symmetry_space_group_name_H-M 'P 1'
_symmetry_Int_Tables_number 1
_symmetry_space_group_name_Hall 'P 1'
_cell_length_a 4.915
_cell_length_b 4.915
_cell_length_c 4.915
_cell_angle_alpha 90.00
_cell_angle_beta 90.00
_cell_angle_gamma 90.00
loop_
_atom_site_label
_atom_site_fract_x
_atom_site_fract_y
_atom_site_fract_z
_atom_site_occupancy
I1 0.000 0.000 0.000 1
Zr1 0.500 0.500 0.500 1
Ta1 0.000 0.500 0.000 1
Ta2 0.000 0.000 0.500 1
Ta3 0.500 0.000 0.000 1
```

***

No. 4
Density functional theory data (meta-GGA SCAN) for a crystal of Cr2ReW relaxed with PBEsol.

## Properties
Symmetry: P4/mmm (123)
Density: 14.958 g/cm³
Crystal system: tetragonal
Calculated formation energy: -0.017 eV/atom
Volume: 52.6 Å³ per cell

Cell and atoms, written as CIF:
```
data_Cr2ReW
_chemical_formula_sum 'Cr2 Re1 W1'
_symmetry_space_group_name_H-M 'P 1'
_symmetry_Int_Tables_number 1
_symmetry_space_group_name_Hall 'P 1'
_cell_length_a 2.975
_cell_length_b 4.206
_cell_length_c 4.206
_cell_angle_alpha 90.00
_cell_angle_beta 90.00
_cell_angle_gamma 90.00
loop_
_atom_site_label
_atom_site_fract_x
_atom_site_fract_y
_atom_site_fract_z
_atom_site_occupancy
Re1 0.500 0.500 0.500 1
W1 0.500 0.000 0.000 1
Cr1 0.000 0.000 0.500 1
Cr2 0.000 0.500 0.000 1
```

***

No. 5
Density functional theory data (meta-GGA SCAN) for a crystal of Re2PBr relaxed with PBEsol.

## Properties
Symmetry: Imm2 (44)
VASP energy: -42.02 eV/atom
Density: 13.338 g/cm³
Crystal system: orthorhombic
Volume: 60.2 Å³ per cell

Cell and atoms, written as CIF:
```
data_Re2PBr
_chemical_formula_sum 'Re2 P1 Br1'
_symmetry_space_group_name_H-M 'P 1'
_symmetry_Int_Tables_number 1
_symmetry_space_group_name_Hall 'P 1'
_cell_length_a 2.986
_cell_length_b 4.054
_cell_length_c 5.572
_cell_angle_alpha 111.33
_cell_angle_beta 105.54
_cell_angle_gamma 90.00
loop_
_atom_site_label
_atom_site_fract_x
_atom_site_fract_y
_atom_site_fract_z
_atom_site_occupancy
Br1 0.522 0.522 0.045 1
P1 0.281 0.781 0.562 1
Re1 0.967 0.967 0.935 1
Re2 0.729 0.229 0.459 1
```

***

No. 6
Density functional theory data (meta-GGA SCAN) for a crystal of LiYPCl2 relaxed with PBEsol.

## Properties
Symmetry: P4/mmm (123)
VASP energy: -12.55 eV/atom
Density: 2.256 g/cm³
Crystal system: tetragonal
Volume: 145.5 Å³ per cell

Cell and atoms, written as CIF:
```
data_LiYPCl2
_chemical_formula_sum 'Li1 Y1 P1 Cl2'
_symmetry_space_group_name_H-M 'P 1'
_symmetry_Int_Tables_number 1
_symmetry_space_group_name_Hall 'P 1'
_cell_length_a 5.188
_cell_length_b 5.188
_cell_length_c 5.406
_cell_angle_alpha 90.00
_cell_angle_beta 90.00
_cell_angle_gamma 90.00
loop_
_atom_site_label
_atom_site_fract_x
_atom_site_fract_y
_atom_site_fract_z
_atom_site_occupancy
Y1 0.000 0.000 0.000 1
P1 0.000 0.000 0.500 1
Li1 0.500 0.500 0.500 1
Cl1 0.000 0.500 0.000 1
Cl2 0.500 0.000 0.000 1
```

***

No. 7
Density functional theory data (meta-GGA SCAN) for a crystal of Zn4Mo3O12 relaxed with PBEsol.

## Properties
Symmetry: Pnma (62)
VASP energy: -14.11 eV/atom
Density: 5.225 g/cm³
Crystal system: orthorhombic
Volume: 942.5 Å³ per cell

Cell and atoms, written as CIF:
```
data_Zn4Mo3O12
_chemical_formula_sum 'Zn16 Mo12 O48'
_symmetry_space_group_name_H-M 'P 1'
_symmetry_Int_Tables_number 1
_symmetry_space_group_name_Hall 'P 1'
_cell_length_a 5.139
_cell_length_b 10.521
_cell_length_c 17.433
_cell_angle_alpha 90.00
_cell_angle_beta 90.00
_cell_angle_gamma 90.00
loop_
_atom_site_label
_atom_site_fract_x
_atom_site_fract_y
_atom_site_fract_z
_atom_site_occupancy
Zn1 0.251 0.250 0.697 1
Zn2 0.749 0.750 0.303 1
Zn3 0.249 0.750 0.197 1
Zn4 0.751 0.250 0.803 1
Zn5 0.246 0.078 0.527 1
Zn6 0.754 0.922 0.473 1
Zn7 0.254 0.922 0.027 1
Zn8 0.754 0.578 0.473 1
Zn9 0.746 0.078 0.973 1
Zn10 0.246 0.422 0.527 1
Zn11 0.746 0.422 0.973 1
Zn12 0.254 0.578 0.027 1
Zn13 0.098 0.250 0.250 1
Zn14 0.902 0.750 0.750 1
Zn15 0.402 0.750 0.750 1
Zn16 0.598 0.250 0.250 1
Mo1 0.277 0.250 0.056 1
Mo2 0.723 0.750 0.944 1
Mo3 0.223 0.750 0.556 1
Mo4 0.777 0.250 0.444 1
Mo5 0.281 0.529 0.342 1
Mo6 0.719 0.471 0.658 1
Mo7 0.219 0.471 0.842 1
Mo8 0.719 0.029 0.658 1
Mo9 0.781 0.529 0.158 1
Mo10 0.281 0.971 0.342 1
Mo11 0.781 0.971 0.158 1
Mo12 0.219 0.029 0.842 1
O1 0.079 0.008 0.425 1
O2 0.921 0.992 0.575 1
O3 0.421 0.992 0.925 1
O4 0.921 0.508 0.575 1
O5 0.579 0.008 0.075 1
O6 0.079 0.492 0.425 1
O7 0.579 0.492 0.075 1
O8 0.421 0.508 0.925 1
O9 0.067 0.626 0.283 1
O10 0.933 0.374 0.717 1
O11 0.433 0.374 0.783 1
O12 0.933 0.126 0.717 1
O13 0.567 0.626 0.217 1
O14 0.067 0.874 0.283 1
O15 0.567 0.874 0.217 1
O16 0.433 0.126 0.783 1
O17 0.076 0.113 0.038 1
O18 0.924 0.887 0.962 1
O19 0.424 0.887 0.538 1
O20 0.924 0.613 0.962 1
O21 0.576 0.113 0.462 1
O22 0.076 0.387 0.038 1
O23 0.576 0.387 0.462 1
O24 0.424 0.613 0.538 1
O25 0.349 0.250 0.157 1
O26 0.651 0.750 0.843 1
O27 0.151 0.750 0.657 1
O28 0.849 0.250 0.343 1
O29 0.348 0.118 0.294 1
O30 0.652 0.882 0.706 1
O31 0.152 0.882 0.794 1
O32 0.652 0.618 0.706 1
O33 0.848 0.118 0.206 1
O34 0.348 0.382 0.294 1
O35 0.848 0.382 0.206 1
O36 0.152 0.618 0.794 1
O37 0.052 0.250 0.511 1
O38 0.948 0.750 0.489 1
O39 0.448 0.750 0.011 1
O40 0.552 0.250 0.989 1
O41 0.060 0.621 0.125 1
O42 0.940 0.379 0.875 1
O43 0.440 0.379 0.625 1
O44 0.940 0.121 0.875 1
O45 0.560 0.621 0.375 1
O46 0.060 0.879 0.125 1
O47 0.560 0.879 0.375 1
O48 0.440 0.121 0.625 1
```

***

No. 8
Density functional theory data (meta-GGA SCAN) for a crystal of LiHf2NiAg relaxed with PBEsol.

## Properties
Symmetry: P4/mmm (123)
Density: 8.417 g/cm³
Crystal system: tetragonal
Calculated formation energy: 0.426 eV/atom
Volume: 104.7 Å³ per cell

Cell and atoms, written as CIF:
```
data_LiHf2NiAg
_chemical_formula_sum 'Li1 Hf2 Ni1 Ag1'
_symmetry_space_group_name_H-M 'P 1'
_symmetry_Int_Tables_number 1
_symmetry_space_group_name_Hall 'P 1'
_cell_length_a 4.667
_cell_length_b 4.667
_cell_length_c 4.806
_cell_angle_alpha 90.00
_cell_angle_beta 90.00
_cell_angle_gamma 90.00
loop_
_atom_site_label
_atom_site_fract_x
_atom_site_fract_y
_atom_site_fract_z
_atom_site_occupancy
Ni1 0.000 0.000 0.000 1
Hf1 0.000 0.500 0.000 1
Hf2 0.500 0.000 0.000 1
Ag1 0.000 0.000 0.500 1
Li1 0.500 0.500 0.500 1
```